(1)
# Pr8CdPd2

Crystalline Pr8CdPd2 at its relaxed geometry (GGA-PBE, Alexandria via LeMat-Bulk).

Cell and atoms, written as CIF:
```
data_Pr8CdPd2
_space_group_name_H-M_alt 'C 1 2/m 1'
_space_group_IT_number 12
_cell_length_a 18.9547
_cell_length_b 5.3725
_cell_length_c 7.1042
_cell_angle_alpha 90.00
_cell_angle_beta 109.46
_cell_angle_gamma 90.00
loop_
_space_group_symop_operation_xyz
'x,y,z'
'-x,-y,-z'
'-x,y,-z'
'x,-y,z'
'x+1/2,y+1/2,z'
'-x+1/2,-y+1/2,-z'
'-x+1/2,y+1/2,-z'
'x+1/2,-y+1/2,z'
loop_
_atom_site_label
_atom_site_type_symbol
_atom_site_fract_x
_atom_site_fract_y
_atom_site_fract_z
Pr1 Pr 0.0288 0.0000 0.2756
Pr2 Pr 0.0945 0.5000 0.9819
Pr3 Pr 0.1773 0.5000 0.5055
Pr4 Pr 0.1976 0.0000 0.8397
Cd1 Cd 0.0000 0.5000 0.5000
Pd1 Pd 0.1713 0.0000 0.2302
```

(2)
# CaTl3Cr

Crystalline CaTl3Cr at its relaxed geometry (GGA-PBE, Alexandria via LeMat-Bulk).

Cell and atoms, written as CIF:
```
data_CaTl3Cr
_space_group_name_H-M_alt 'P m -3 m'
_space_group_IT_number 221
_space_group_name_Hall '-P 4 2 3'
_cell_length_a 5.8522
_cell_length_b 5.8522
_cell_length_c 5.8522
_cell_angle_alpha 90.00
_cell_angle_beta 90.00
_cell_angle_gamma 90.00
loop_
_atom_site_label
_atom_site_type_symbol
_atom_site_fract_x
_atom_site_fract_y
_atom_site_fract_z
Ca1 Ca 0.0000 0.0000 0.0000
Tl1 Tl 0.0000 0.0000 0.5000
Cr1 Cr 0.5000 0.5000 0.5000
```

(3)
# ReP

Crystalline ReP at its relaxed geometry (GGA-PBE, Alexandria via LeMat-Bulk).

Cell and atoms, written as CIF:
```
data_ReP
_space_group_name_H-M_alt 'I 4/m'
_space_group_IT_number 87
_space_group_name_Hall '-I 4'
_cell_length_a 10.4451
_cell_length_b 10.4451
_cell_length_c 2.8934
_cell_angle_alpha 90.00
_cell_angle_beta 90.00
_cell_angle_gamma 90.00
loop_
_atom_site_label
_atom_site_type_symbol
_atom_site_fract_x
_atom_site_fract_y
_atom_site_fract_z
Re1 Re 0.1338 0.2734 0.0000
P1 P 0.0883 0.7502 0.0000
```

(4)
# ScCo2Ru

Crystalline ScCo2Ru at its relaxed geometry (GGA-PBE, Alexandria via LeMat-Bulk).

Cell and atoms, written as CIF:
```
data_ScCo2Ru
_space_group_name_H-M_alt 'F -4 3 m'
_space_group_IT_number 216
_space_group_name_Hall 'F -4 2 3'
_cell_length_a 6.0637
_cell_length_b 6.0637
_cell_length_c 6.0637
_cell_angle_alpha 90.00
_cell_angle_beta 90.00
_cell_angle_gamma 90.00
loop_
_atom_site_label
_atom_site_type_symbol
_atom_site_fract_x
_atom_site_fract_y
_atom_site_fract_z
Sc1 Sc 0.0000 0.0000 0.0000
Co1 Co 0.0000 0.0000 0.5000
Co2 Co 0.2500 0.2500 0.7500
Ru1 Ru 0.2500 0.2500 0.2500
```

Calculated values (μB per formula unit) of magnetic moment for the records, taken in order: 0.0, 4.6, 0.0, 3.9.
Calculated values (eV per atom) of excess energy over the best structure of this formula in the dataset for the records, taken in order: 0.000, 0.689, 0.370, 0.057.
Calculated values (meV per atom) of ΔH_f (0 K) for the records, taken in order: -306, 934, 81, -34.